# Na7BiAu2

An optimized crystal structure of Na7BiAu2 (GGA-PBE, Alexandria via LeMat-Bulk).

The structure belongs to space group Cmmm (No. 65); the cell edges are 8.943, 14.365 and 5.305 Å and the angles 90.00°, 90.00° and 90.00°. The asymmetric unit holds Na at (0.000, 0.000, 0.000), Na at (0.000, 0.270, 0.500), Na at (0.182, 0.381, 0.000), Bi at (0.000, 0.500, 0.500) and Au at (0.000, 0.199, 0.000).

# Na3Bi2Au

An optimized crystal structure of Na3Bi2Au (GGA-PBE, Alexandria via LeMat-Bulk).

The structure belongs to space group Ibam (No. 72); the cell edges are 6.396, 16.181 and 6.832 Å and the angles 90.00°, 90.00° and 90.00°. The asymmetric unit holds Na at (0.000, 0.000, 0.250), Na at (0.210, 0.174, 0.000), Bi at (0.193, 0.377, 0.000) and Au at (0.000, 0.500, 0.250).

# Na2Bi4Au

An optimized crystal structure of Na2Bi4Au (GGA-PBE, Alexandria via LeMat-Bulk).

The structure belongs to space group I4/mmm (No. 139); the cell edges are 5.674, 5.674 and 15.997 Å and the angles 90.00°, 90.00° and 90.00°. The asymmetric unit holds Na at (0.000, 0.000, 0.127), Bi at (0.000, 0.000, 0.330), Bi at (0.000, 0.500, 0.000) and Au at (0.000, 0.000, 0.500).

# Na3Bi4Au

An optimized crystal structure of Na3Bi4Au (GGA-PBE, Alexandria via LeMat-Bulk).

The structure belongs to space group Immm (No. 71); the cell edges are 5.218, 7.071 and 13.462 Å and the angles 90.00°, 90.00° and 90.00°. The asymmetric unit holds Na at (0.000, 0.000, 0.000), Na at (0.000, 0.500, 0.118), Bi at (0.000, 0.274, 0.334) and Au at (0.000, 0.000, 0.500).

# NaBi3Au2

An optimized crystal structure of NaBi3Au2 (GGA-PBE, Alexandria via LeMat-Bulk).

The structure belongs to space group C2/m (No. 12); the cell edges are 17.020, 4.960 and 8.330 Å and the angles 90.00°, 110.28° and 90.00°. The asymmetric unit holds Na at (0.100, 0.000, 0.159), Bi at (0.073, 0.000, 0.691), Bi at (0.113, 0.500, 0.461), Bi at (0.208, 0.500, 0.057), Au at (0.028, 0.500, 0.860) and Au at (0.222, 0.000, 0.568).

The value obtained for the distance to the lowest polymorph of the same formula is 0.0280 eV/atom.

# Na2BiAu2

An optimized crystal structure of Na2BiAu2 (GGA-PBE, Alexandria via LeMat-Bulk).

The structure belongs to space group C2/c (No. 15); the cell edges are 10.226, 5.711 and 8.839 Å and the angles 90.00°, 101.77° and 90.00°. The asymmetric unit holds Na at (0.155, 0.151, 0.155), Bi at (0.000, 0.323, 0.750) and Au at (0.132, 0.367, 0.482).

The value obtained for the distance to the lowest polymorph of the same formula is 0.0000 eV/atom.

# Na3BiAu2

An optimized crystal structure of Na3BiAu2 (GGA-PBE, Alexandria via LeMat-Bulk).

The structure belongs to space group R-3c (No. 167, hexagonal axes); the cell edges are 8.7266, 8.7266 and 16.3473 Å and the angles 90.00°, 90.00° and 120.00°. The asymmetric unit holds Na at (0.0000, 0.3230, 0.2500), Bi at (0.0000, 0.0000, 0.0000) and Au at (0.0000, 0.0000, 0.1691).

# NaBiAu2

An optimized crystal structure of NaBiAu2 (GGA-PBE, Alexandria via LeMat-Bulk).

The structure belongs to space group Cmcm (No. 63); the cell edges are 5.056, 10.839 and 7.755 Å and the angles 90.00°, 90.00° and 90.00°. The asymmetric unit holds Na at (0.000, 0.063, 0.250), Bi at (0.000, 0.371, 0.250) and Au at (0.000, 0.226, 0.568).

# Na5Bi3Au3

An optimized crystal structure of Na5Bi3Au3 (GGA-PBE, Alexandria via LeMat-Bulk).

The structure belongs to space group P-62m (No. 189); the cell edges are 9.9567, 9.9567 and 4.8347 Å and the angles 90.00°, 90.00° and 120.00°. The asymmetric unit holds Na at (0.0000, 0.2341, 0.0000), Na at (0.3333, 0.6667, 0.0000), Bi at (0.0000, 0.6297, 0.0000) and Au at (0.0000, 0.7579, 0.5000).

# Na4Bi2Au

An optimized crystal structure of Na4Bi2Au (GGA-PBE, Alexandria via LeMat-Bulk).

The structure belongs to space group P-1 (No. 2); the cell edges are 6.066, 7.778 and 9.660 Å and the angles 76.68°, 72.09° and 68.89°. The asymmetric unit holds Na at (0.010, 0.206, 0.280), Na at (0.045, 0.265, 0.623), Na at (0.461, 0.216, 0.852), Na at (0.480, 0.758, 0.750), Bi at (0.000, 0.000, 0.000), Bi at (0.188, 0.549, 0.059), Bi at (0.500, 0.500, 0.500) and Au at (0.373, 0.910, 0.452).

The value obtained for the distance to the lowest polymorph of the same formula is 0.0000 eV/atom.

# Na5Bi4Au

An optimized crystal structure of Na5Bi4Au (GGA-PBE, Alexandria via LeMat-Bulk).

The structure belongs to space group P4/mmm (No. 123); the cell edges are 3.438, 3.438 and 23.406 Å and the angles 90.00°, 90.00° and 90.00°. The asymmetric unit holds Na at (0.000, 0.000, 0.000), Na at (0.000, 0.000, 0.210), Na at (0.000, 0.000, 0.419), Bi at (0.500, 0.500, 0.105), Bi at (0.500, 0.500, 0.315) and Au at (0.500, 0.500, 0.500).

# Na2Bi3Au

An optimized crystal structure of Na2Bi3Au (GGA-PBE, Alexandria via LeMat-Bulk).

The structure belongs to space group Pmm2 (No. 25); the cell edges are 3.451, 5.046 and 9.832 Å and the angles 90.00°, 90.00° and 90.00°. The asymmetric unit holds Na at (0.000, 0.000, 0.000), Na at (0.000, 0.500, 0.442), Bi at (0.500, 0.000, 0.602), Bi at (0.500, 0.500, 0.151), Bi at (0.500, 0.500, 0.815) and Au at (0.500, 0.000, 0.304).

The value obtained for the distance to the lowest polymorph of the same formula is 0.0000 eV/atom.

| no. | formation enthalpy at 0 K (meV per atom) | density (g cm⁻³) | total magnetization (Bohr magnetons per cell) |
| --- | --- | --- | --- |
| 1 | -135 | 3.72 | 0.00 |
| 2 | -216 | 6.42 | 0.00 |
| 3 | 176 | 6.96 | 0.00 |
| 4 | -157 | 7.37 | 0.00 |
| 5 | -112 | 10.51 | 0.00 |
| 6 | -309 | 8.53 | 0.00 |
| 7 | -283 | 6.21 | 0.00 |
| 8 | -186 | 9.78 | 0.00 |
| 9 | -148 | 5.33 | 0.00 |
| 10 | -286 | 5.86 | 0.00 |
| 11 | -294 | 6.89 | 0.00 |
| 12 | -211 | 8.44 | 0.00 |